Compound: Cs3CrGe
Source: Alexandria via LeMat-Bulk
Functional: PBE
Structure: relaxed

The structure in extended XYZ format:
```
5
Lattice="-2.397 6.674 -0.873 -6.464 -2.541 -1.673 -1.873 0.229 6.891" Properties=species:S:1:pos:R:3 pbc="T T T"
Cr -5.367 2.181 2.172
Cs -3.232 -1.270 -0.837
Cs -1.199 3.337 -0.437
Cs -0.937 0.114 3.445
Ge 0.000 0.000 0.000
```

Computed properties:
calculated formation energy	0.7553	eV per atom


Compound: Dy4CdRe
Source: Alexandria via LeMat-Bulk
Functional: PBE
Structure: relaxed

The structure in extended XYZ format:
```
12
Lattice="-3.062 -4.826 -2.497 1.138 4.212 -6.422 6.443 -3.669 2.303" Properties=species:S:1:pos:R:3 pbc="T T T"
Cd 3.692 -1.925 -1.587
Cd 0.827 -2.357 -5.028
Re 4.142 -7.282 0.424
Re 0.376 3.000 -7.039
Dy 0.678 -3.394 -1.968
Dy 1.811 -6.989 -1.132
Dy -0.153 0.616 -5.633
Dy 2.707 2.707 -5.483
Dy 1.369 0.267 -2.101
Dy 3.149 -4.549 -4.514
Dy 3.840 -0.888 -4.647
Dy 4.672 -4.898 -0.983
```

Computed properties:
calculated formation energy	-0.1351	eV per atom


Compound: Al4TlSi
Source: Alexandria via LeMat-Bulk
Functional: PBE
Structure: relaxed

The structure in extended XYZ format:
```
6
Lattice="-2.989 -3.478 3.026 -3.861 1.933 3.398 -5.315 -0.777 -1.155" Properties=species:S:1:pos:R:3 pbc="T T T"
Al -4.571 -0.872 1.980
Al -6.489 0.088 3.668
Al -6.056 -2.601 3.483
Al -7.212 -1.259 1.406
Tl 0.000 0.000 0.000
Si -9.123 -1.741 3.951
```

Computed properties:
formation energy without anion corrections	371	meV per atom


Compound: MnGeCSe
Source: Alexandria via LeMat-Bulk
Functional: PBE
Structure: relaxed

The structure in extended XYZ format:
```
4
Lattice="3.341 0.004 0.001 0.796 3.912 0.004 0.750 0.056 4.880" Properties=species:S:1:pos:R:3 pbc="T T T"
Ge 4.021 1.344 4.026
Se 2.354 1.172 2.153
Mn 2.909 3.048 0.691
C 1.261 3.480 0.062
```

Computed properties:
formation energy without anion corrections	436	meV per atom


| no. | DFT total energy (eV for the cell shown) | M_tot (Bohr magnetons per cell) |
| --- | --- | --- |
| 1 | -13.025 | 7.2 |
| 2 | -65.165 | 0.0 |
| 3 | -20.531 | 0.0 |
| 4 | -24.750 | 0.0 |